VASP calculation (PBE) on a geometry-optimized TlPdC2O6 structure.

a = 4.9301 Å, b = 4.9301 Å, c = 7.2146 Å
α = 70.02°, β = 70.02°, γ = 60.00°
Closest atoms and distances in Å follow each position.
Element x y z (fractional)
Tl: 0.0000 0.0000 0.0000  6 O 2.84
Pd: 0.5000 0.5000 0.5000  6 O 2.15
C: 0.7744 0.7744 0.6769  3 O 1.30
C: 0.2256 0.2256 0.3231  3 O 1.30
O: 0.0459 0.5208 0.6837  1 C 1.30
O: 0.7496 0.0459 0.6837  1 C 1.30
O: 0.4792 0.2504 0.3163  1 C 1.30
O: 0.9541 0.4792 0.3163  1 C 1.30
O: 0.2504 0.9541 0.3163  1 C 1.30
O: 0.5208 0.7496 0.6837  1 C 1.30

Summary:
formation energy (no corrections): -970 meV/atom
magnetization: 1.01 μB/f.u.


VASP calculation (PBE) on a geometry-optimized AcPrRu structure.

a = 5.0799 Å, b = 5.0799 Å, c = 5.0799 Å
α = 60.00°, β = 60.00°, γ = 60.00°
Closest atoms and distances in Å follow each position.
Element x y z (fractional)
Pr: 0.0000 0.0000 0.0000  4 Ru 3.11
Ru: 0.2500 0.2500 0.2500  4 Ac 3.11, 4 Pr 3.11
Ac: 0.5000 0.5000 0.5000  4 Ru 3.11

Summary:
magnetization: 0.00 μB/f.u.
energy above the most stable polymorph in this dataset: 0.030 eV per atom
DFT formation energy: -0.100 eV per atom


VASP calculation (PBE) on a geometry-optimized Ce2PuUP4 structure.

a = 4.0232 Å, b = 6.9806 Å, c = 6.9931 Å
α = 109.34°, β = 90.00°, γ = 90.00°
Closest atoms and distances in Å follow each position.
Element x y z (fractional)
Ce: 0.5000 0.0000 0.5000  6 P 2.90-2.91
Ce: 0.0000 0.5000 0.5000  6 P 2.88
Pu: 0.0000 0.0000 0.0000  6 P 2.82-2.83
U: 0.5000 0.5000 0.0000  6 P 2.79-2.80
P: 0.5000 0.2503 0.2400  1 U 2.79, 2 Pu 2.82, 3 Ce 2.88-2.91
P: 0.5000 0.7497 0.7600  1 U 2.79, 2 Pu 2.82, 3 Ce 2.88-2.91
P: 0.0000 0.2566 0.7611  2 U 2.80, 1 Pu 2.83, 3 Ce 2.88-2.90
P: 0.0000 0.7434 0.2389  2 U 2.80, 1 Pu 2.83, 3 Ce 2.88-2.90

Summary:
magnetization: 8.62 μB/f.u.
DFT formation energy: -1.279 eV per atom


VASP calculation (PBE) on a geometry-optimized UNbV structure.

a = 2.8547 Å, b = 4.5968 Å, c = 4.5968 Å
α = 120.00°, β = 90.00°, γ = 90.00°
Closest atoms and distances in Å follow each position.
Element x y z (fractional)
Nb: 0.6285 0.3333 0.6667  3 U 2.75, 2 Nb 2.85, 3 V 2.86
U: 0.3711 0.6667 0.3333  3 Nb 2.75, 2 U 2.85, 3 V 2.86
V: 0.0004 0.0000 0.0000  2 V 2.85, 3 U 2.86, 3 Nb 2.86

Summary:
magnetization: 0.00 μB/f.u.
energy above the most stable polymorph in this dataset: 0.000 eV per atom
DFT formation energy: 0.194 eV per atom


VASP calculation (PBE) on a geometry-optimized Be4ZnNi3 structure.

a = 2.6579 Å, b = 2.6579 Å, c = 10.7246 Å
α = 90.00°, β = 90.00°, γ = 90.00°
Closest atoms and distances in Å follow each position.
Element x y z (fractional)
Be: 0.0000 0.0000 0.8540  4 Ni 2.24, 4 Zn 2.45, 1 Be 2.49
Be: 0.0000 0.0000 0.1460  4 Ni 2.24, 4 Zn 2.45, 1 Be 2.49
Be: 0.0000 0.0000 0.3783  8 Ni 2.27-2.29, 1 Be 2.49
Be: 0.0000 0.0000 0.6217  8 Ni 2.27-2.29, 1 Be 2.49
Zn: 0.5000 0.5000 0.0000  8 Be 2.45, 4 Zn 2.66
Ni: 0.5000 0.5000 0.2593  8 Be 2.24-2.27
Ni: 0.5000 0.5000 0.5000  8 Be 2.29
Ni: 0.5000 0.5000 0.7407  8 Be 2.24-2.27

Summary:
magnetization: 0.00 μB/f.u.
DFT formation energy: -0.321 eV per atom


VASP calculation (PBE) on a geometry-optimized Er3BiH3 structure.

a = 6.1985 Å, b = 6.1985 Å, c = 6.1985 Å
α = 90.00°, β = 90.00°, γ = 90.00°
Closest atoms and distances in Å follow each position.
Element x y z (fractional)
H: 0.2500 0.0000 0.5000  4 Er 2.19
H: 0.0000 0.5000 0.2500  4 Er 2.19
H: 0.5000 0.7500 0.0000  4 Er 2.19
H: 0.7500 0.0000 0.5000  4 Er 2.19
H: 0.0000 0.5000 0.7500  4 Er 2.19
H: 0.5000 0.2500 0.0000  4 Er 2.19
Bi: 0.5000 0.5000 0.5000  12 H 3.47, 12 Er 3.47
Bi: 0.0000 0.0000 0.0000  12 H 3.47, 12 Er 3.47
Er: 0.0000 0.2500 0.5000  4 H 2.19
Er: 0.0000 0.7500 0.5000  4 H 2.19
Er: 0.5000 0.0000 0.7500  4 H 2.19
Er: 0.7500 0.5000 0.0000  4 H 2.19
Er: 0.5000 0.0000 0.2500  4 H 2.19
Er: 0.2500 0.5000 0.0000  4 H 2.19

Summary:
magnetization: 0.00 μB/f.u.
total energy: -4.5002 eV per atom